1.
VASP calculation (PBE-GGA) on an optimized crystal structure of KRePb2.

Lattice parameters (Å, degrees): 6.5633 6.2770 3.0050 78.66 85.31 120.21
With the nearest neighbours (Å) after each atom.
Sites, in units of the cell vectors:
1 Pb 0.5000 0.0000 0.5000  2 Pb 3.01, 2 K 3.20, 2 Re 3.20
2 K 0.5000 0.5000 0.0000  2 K 3.01, 4 Pb 3.20
3 Pb 0.0000 0.0000 0.0000  2 Pb 3.01, 2 Re 3.20, 2 K 3.20
4 Re 0.0000 0.5000 0.5000  2 Re 3.01, 4 Pb 3.20

Output
polymorph energy (0 for the lowest one) = 0.6032 eV/atom
total energy = -4.16 eV per atom
space group = C2/m
energy of formation from the pure elements = 1082 meV/atom



2.
VASP calculation (PBE-GGA) on an optimized crystal structure of HfScGaRh.

Lattice parameters (Å, degrees): 3.3229 3.3229 6.5252 90.00 90.00 90.00
With the nearest neighbours (Å) after each atom.
Sites, in units of the cell vectors:
1 Rh 0.5000 0.5000 0.6163  4 Hf 2.78, 4 Sc 2.87
2 Ga 0.5000 0.5000 0.1046  4 Sc 2.89, 4 Hf 2.90, 1 Rh 3.19
3 Hf 0.0000 0.0000 0.8445  4 Rh 2.78, 4 Ga 2.90
4 Sc 0.0000 0.0000 0.3626  4 Rh 2.87, 4 Ga 2.89, 1 Hf 3.14

Output
total energy = -7.39 eV per atom
space group = P4mm
energy of formation from the pure elements = -724 meV/atom